Li3HgPb2 after structural relaxation, computed with PBE-GGA.

Computed properties:
ΔE_f, eV/atom: -0.2911
Polymorph energy (0 for the lowest one), kJ/mol of atoms: 0.0
Space-group type: No. 65
DOS at the Fermi energy, states/eV/cell: 3.87
Calculated density, g cm⁻³: 8.3
Crystal system: orthorhombic
E, eV/atom: -2.53

a b c (Å): 7.613 7.613 7.281
angles (deg): 90.00 90.00 143.08
Element x y z (fractional)
Li: 0.000 0.000 0.239
Li: 0.000 0.000 0.761
Li: 0.328 0.672 0.223
Li: 0.328 0.672 0.777
Li: 0.672 0.328 0.223
Li: 0.672 0.328 0.777
Hg: 0.163 0.837 0.000
Hg: 0.837 0.163 0.000
Pb: 0.168 0.832 0.500
Pb: 0.500 0.500 0.000
Pb: 0.500 0.500 0.500
Pb: 0.832 0.168 0.500

***

LiHg2Pb after structural relaxation, computed with PBE-GGA.

Computed properties:
ΔE_f, eV/atom: -0.1330
Space-group type: No. 12
DOS at the Fermi energy, states/eV/cell: 1.40
Calculated density, g cm⁻³: 10.4
Crystal system: monoclinic
E, eV/atom: -1.69

a b c (Å): 5.269 5.269 6.224
angles (deg): 102.71 102.71 35.62
Element x y z (fractional)
Li: 0.000 0.000 0.000
Hg: 0.276 0.276 0.788
Hg: 0.724 0.724 0.212
Pb: 0.500 0.500 0.500

***

LiHg2Pb after structural relaxation, computed with PBE-GGA.

Computed properties:
ΔE_f, eV/atom: -0.0713
Space-group type: No. 122
DOS at the Fermi energy, states/eV/cell: 3.74
Calculated density, g cm⁻³: 10.1
Crystal system: tetragonal
E, eV/atom: -1.63

a b c (Å): 6.487 6.487 6.487
angles (deg): 103.41 103.41 122.42
Element x y z (fractional)
Li: 0.000 0.000 0.000
Li: 0.750 0.250 0.500
Hg: 0.084 0.625 0.959
Hg: 0.375 0.334 0.459
Hg: 0.666 0.125 0.041
Hg: 0.875 0.916 0.541
Pb: 0.250 0.750 0.500
Pb: 0.500 0.500 0.000